# 1
# MgPbN2, optimized geometry, DFT PBE
data_MgPbN2
_chemical_formula_sum 'Mg4 Pb4 N8'
_cell_length_a 5.946
_cell_length_b 5.946
_cell_length_c 5.946
_cell_angle_alpha 90.00
_cell_angle_beta 90.00
_cell_angle_gamma 90.00
_symmetry_space_group_name_H-M 'F m -3 m'
_symmetry_Int_Tables_number 225
_symmetry_space_group_name_Hall '-F 4 2 3'
loop_
_atom_site_label
_atom_site_type_symbol
_atom_site_fract_x
_atom_site_fract_y
_atom_site_fract_z
Mg1 Mg 0.000 0.000 0.000
Pb1 Pb 0.000 0.000 0.500
N1 N 0.250 0.250 0.250
# * uncorrected energy: -17.87 eV per formula unit
# * calculated density: 8.200 g/cm3
# * formation energy without anion corrections: 1021 meV/atom
# * D(E_F): 0.722 states/eV/atom

***

# 2
# Ta3H3Au, optimized geometry, DFT PBE
data_Ta3H3Au
_chemical_formula_sum 'Ta6 H6 Au2'
_cell_length_a 5.419
_cell_length_b 5.419
_cell_length_c 5.419
_cell_angle_alpha 90.00
_cell_angle_beta 90.00
_cell_angle_gamma 90.00
_symmetry_space_group_name_H-M 'P m -3 n'
_symmetry_Int_Tables_number 223
_symmetry_space_group_name_Hall '-P 4n 2 3'
loop_
_atom_site_label
_atom_site_type_symbol
_atom_site_fract_x
_atom_site_fract_y
_atom_site_fract_z
Ta1 Ta 0.000 0.250 0.500
H1 H 0.000 0.500 0.250
Au1 Au 0.000 0.000 0.000
# * uncorrected energy: -49.59 eV per formula unit
# * calculated density: 15.502 g/cm3
# * D(E_F): 0.635 states/eV/atom

***

# 3
# Rb2ZrGaBr6, optimized geometry, DFT PBE
data_Rb2ZrGaBr6
_chemical_formula_sum 'Rb12 Zr6 Ga6 Br36'
_cell_length_a 7.9085
_cell_length_b 7.9085
_cell_length_c 42.8084
_cell_angle_alpha 90.00
_cell_angle_beta 90.00
_cell_angle_gamma 120.00
_symmetry_space_group_name_H-M 'R -3 m'
_symmetry_Int_Tables_number 166
_symmetry_space_group_name_Hall '-R 3 2"'
loop_
_atom_site_label
_atom_site_type_symbol
_atom_site_fract_x
_atom_site_fract_y
_atom_site_fract_z
Rb1 Rb 0.0000 0.0000 0.1341
Rb2 Rb 0.0000 0.0000 0.3056
Zr1 Zr 0.0000 0.0000 0.0000
Zr2 Zr 0.0000 0.0000 0.5000
Ga1 Ga 0.0000 0.0000 0.4205
Br1 Br 0.0027 0.5013 0.8683
Br2 Br 0.0121 0.5061 0.7033
# * uncorrected energy: -36.68 eV per formula unit
# * calculated density: 3.486 g/cm3
# * formation energy without anion corrections: -1313 meV/atom
# * D(E_F): 0.413 states/eV/atom

***

# 4
# SrTiSn3, optimized geometry, DFT PBE
data_SrTiSn3
_chemical_formula_sum 'Sr1 Ti1 Sn3'
_cell_length_a 5.780
_cell_length_b 5.780
_cell_length_c 5.780
_cell_angle_alpha 90.00
_cell_angle_beta 90.00
_cell_angle_gamma 90.00
_symmetry_space_group_name_H-M 'P m -3 m'
_symmetry_Int_Tables_number 221
_symmetry_space_group_name_Hall '-P 4 2 3'
loop_
_atom_site_label
_atom_site_type_symbol
_atom_site_fract_x
_atom_site_fract_y
_atom_site_fract_z
Sr1 Sr 0.000 0.000 0.000
Ti1 Ti 0.500 0.500 0.500
Sn1 Sn 0.000 0.000 0.500
# * uncorrected energy: -14.92 eV per formula unit
# * calculated density: 4.227 g/cm3
# * D(E_F): 2.537 states/eV/atom
# * energy relative to the elements: 1333 meV per atom

***

# 5
# LaSnS2Cl, optimized geometry, DFT PBE
data_LaSnS2Cl
_chemical_formula_sum 'La1 Sn1 S2 Cl1'
_cell_length_a 5.199
_cell_length_b 5.199
_cell_length_c 5.086
_cell_angle_alpha 90.00
_cell_angle_beta 90.00
_cell_angle_gamma 90.00
_symmetry_space_group_name_H-M 'P 4/m m m'
_symmetry_Int_Tables_number 123
_symmetry_space_group_name_Hall '-P 4 2'
loop_
_atom_site_label
_atom_site_type_symbol
_atom_site_fract_x
_atom_site_fract_y
_atom_site_fract_z
La1 La 0.000 0.000 0.000
Sn1 Sn 0.500 0.500 0.500
S1 S 0.000 0.500 0.500
Cl1 Cl 0.500 0.500 0.000
# * uncorrected energy: -22.96 eV per formula unit
# * calculated density: 4.314 g/cm3
# * formation energy without anion corrections: -785 meV/atom
# * D(E_F): 1.178 states/eV/atom

***

# 6
# Pr2Zn6Pd, optimized geometry, DFT PBE
data_Pr2Zn6Pd
_chemical_formula_sum 'Pr2 Zn6 Pd1'
_cell_length_a 5.9679
_cell_length_b 5.9679
_cell_length_c 5.6753
_cell_angle_alpha 90.00
_cell_angle_beta 90.00
_cell_angle_gamma 120.00
_symmetry_space_group_name_H-M 'P -3 m 1'
_symmetry_Int_Tables_number 164
_symmetry_space_group_name_Hall '-P 3 2"'
loop_
_atom_site_label
_atom_site_type_symbol
_atom_site_fract_x
_atom_site_fract_y
_atom_site_fract_z
Pr1 Pr 0.3333 0.6667 0.1716
Zn1 Zn 0.1764 0.3529 0.6698
Pd1 Pd 0.0000 0.0000 0.0000
# * uncorrected energy: -25.88 eV per formula unit
# * calculated density: 7.405 g/cm3
# * D(E_F): 0.738 states/eV/atom
# * energy relative to the elements: -387 meV per atom